! NiMoBr2 | the Alexandria database | GGA-PBE | optimized geometry; values from VASP
&SYSTEM
  ibrav = 0, nat = 8, ntyp = 3
/
ATOMIC_SPECIES
Ni 58.69 Ni.upf
Mo 95.94 Mo.upf
Br 79.90 Br.upf
CELL_PARAMETERS angstrom
3.740 0.000 0.000
0.000 3.740 0.000
0.000 0.000 11.727
ATOMIC_POSITIONS angstrom
Ni 0.000 0.000 0.000
Ni 1.870 1.870 5.863
Mo 0.000 1.870 2.932
Mo 1.870 0.000 8.795
Br 0.000 0.000 5.863
Br 0.000 1.870 8.795
Br 1.870 0.000 2.932
Br 1.870 1.870 0.000
! Raw total energy ... -4.1344 eV/atom
! Total magnetic moment ... 3.79 μB per formula unit
! Formation energy without anion corrections ... 0.8552 eV per atom
! Energy relative to the lowest polymorph listed for this composition ... 813 meV per atom

---

! Tm2ZrSi2Rh5 | the Alexandria database | GGA-PBE | optimized geometry; values from VASP
&SYSTEM
  ibrav = 0, nat = 20, ntyp = 4
/
ATOMIC_SPECIES
Tm 168.93 Tm.upf
Zr 91.22 Zr.upf
Si 28.09 Si.upf
Rh 102.91 Rh.upf
CELL_PARAMETERS angstrom
9.717 0.000 0.000
0.000 9.717 0.000
0.000 0.000 3.562
ATOMIC_POSITIONS angstrom
Tm 1.690 3.168 0.000
Tm 3.168 8.027 0.000
Tm 6.549 1.690 0.000
Tm 8.027 6.549 0.000
Zr 0.000 0.000 0.000
Zr 4.859 4.859 0.000
Si 1.191 6.049 0.000
Si 3.668 1.191 0.000
Si 6.049 8.526 0.000
Si 8.526 3.668 0.000
Rh 0.000 4.859 1.781
Rh 0.682 7.629 1.781
Rh 2.089 0.682 1.781
Rh 2.770 5.540 1.781
Rh 4.177 2.770 1.781
Rh 4.859 0.000 1.781
Rh 5.540 6.947 1.781
Rh 6.947 4.177 1.781
Rh 7.629 9.036 1.781
Rh 9.036 2.089 1.781
! Raw total energy ... -7.5351 eV/atom
! Total magnetic moment ... 0.00 μB per formula unit
! Formation energy without anion corrections ... -1.0257 eV per atom

---

! ZrTiTe2N | the Alexandria database | GGA-PBE | optimized geometry; values from VASP
&SYSTEM
  ibrav = 0, nat = 5, ntyp = 4
/
ATOMIC_SPECIES
Zr 91.22 Zr.upf
Ti 47.87 Ti.upf
Te 127.60 Te.upf
N 14.01 N.upf
CELL_PARAMETERS angstrom
5.726 0.000 0.000
0.000 5.726 0.000
0.000 0.000 3.983
ATOMIC_POSITIONS angstrom
Zr 0.000 0.000 0.000
Ti 2.863 2.863 1.992
Te 0.000 2.863 0.000
Te 2.863 0.000 0.000
N 0.000 0.000 1.992
! Raw total energy ... -6.1038 eV/atom
! Total magnetic moment ... 1.98 μB per formula unit
! Formation energy without anion corrections ... 0.1066 eV per atom
! Energy relative to the lowest polymorph listed for this composition ... 292 meV per atom

---

! TbCe2As2Rh7 | the Alexandria database | GGA-PBE | optimized geometry; values from VASP
&SYSTEM
  ibrav = 0, nat = 12, ntyp = 4
/
ATOMIC_SPECIES
Tb 158.93 Tb.upf
Ce 140.12 Ce.upf
As 74.92 As.upf
Rh 102.91 Rh.upf
CELL_PARAMETERS angstrom
2.890 -2.884 0.000
2.890 2.884 0.000
-2.803 0.000 12.968
ATOMIC_POSITIONS angstrom
Tb 0.000 0.000 0.000
Ce -0.017 0.000 4.480
Ce 2.993 0.000 8.487
As 0.088 0.000 9.531
As 2.889 0.000 3.437
Rh 1.446 1.442 2.107
Rh 0.136 0.000 7.021
Rh 1.531 1.442 10.861
Rh 2.890 0.000 0.000
Rh 1.446 -1.442 2.107
Rh 2.840 0.000 5.947
Rh 1.531 -1.442 10.861
! Raw total energy ... -7.1982 eV/atom
! Total magnetic moment ... 0.10 μB per formula unit